VASP calculation (GGA-PBE) on MnBe2Ni after structural relaxation.

CIF file:
```
data_MnBe2Ni
_chemical_formula_sum 'Mn1 Be2 Ni1'
_cell_length_a 3.8101
_cell_length_b 3.8101
_cell_length_c 3.8257
_cell_angle_alpha 119.86
_cell_angle_beta 119.86
_cell_angle_gamma 90.00
_symmetry_space_group_name_H-M 'P 1'
_symmetry_Int_Tables_number 1
loop_
_symmetry_equiv_pos_as_xyz
'x,y,z'
loop_
_atom_site_label
_atom_site_fract_x
_atom_site_fract_y
_atom_site_fract_z
Ni1 0.7500 0.2500 0.5000
Mn1 0.5000 0.5000 0.0000
Be1 0.0000 0.0000 0.0000
Be2 0.2500 0.7500 0.5000
```

Output
E_tot: -5.747 eV/atom
Space-group type: I-4m2

VASP calculation (GGA-PBE) on MnBeNi2 after structural relaxation.

CIF file:
```
data_MnBeNi2
_chemical_formula_sum 'Mn1 Be1 Ni2'
_cell_length_a 2.6112
_cell_length_b 2.6112
_cell_length_c 6.1622
_cell_angle_alpha 90.00
_cell_angle_beta 90.00
_cell_angle_gamma 90.00
_symmetry_space_group_name_H-M 'P 1'
_symmetry_Int_Tables_number 1
loop_
_symmetry_equiv_pos_as_xyz
'x,y,z'
loop_
_atom_site_label
_atom_site_fract_x
_atom_site_fract_y
_atom_site_fract_z
Ni1 0.0000 0.0000 0.0350
Ni2 0.0000 0.0000 0.4650
Mn1 0.5000 0.5000 0.7500
Be1 0.5000 0.5000 0.2500
```

Output
E_tot: -6.337 eV/atom
Space-group type: P4/mmm

VASP calculation (GGA-PBE) on MnBe2Ni after structural relaxation.

CIF file:
```
data_MnBe2Ni
_chemical_formula_sum 'Mn1 Be2 Ni1'
_cell_length_a 3.5561
_cell_length_b 2.5522
_cell_length_c 4.4206
_cell_angle_alpha 73.48
_cell_angle_beta 90.00
_cell_angle_gamma 90.00
_symmetry_space_group_name_H-M 'P 1'
_symmetry_Int_Tables_number 1
loop_
_symmetry_equiv_pos_as_xyz
'x,y,z'
loop_
_atom_site_label
_atom_site_fract_x
_atom_site_fract_y
_atom_site_fract_z
Ni1 0.5000 0.7816 0.8076
Mn1 0.0000 0.4663 0.4478
Be1 0.0000 0.1941 0.9831
Be2 0.5000 0.0581 0.2615
```

Output
E_tot: -5.783 eV/atom
Space-group type: Pm

no.,formation energy from the elements (eV per atom)
1,-0.15
2,-0.22
3,-0.18